PBE AlNiPb2, relaxed; E_form = -0.1 eV per formula unit; SG = P4mm, No. 99
1.0
3.2537 0.0000 0.0000
0.0000 3.2537 0.0000
0.0000 0.0000 8.4235
Al Ni Pb
1 1 2
Cartesian
0.0000 0.0000 0.0000
1.6268 1.6268 0.9237
0.0000 0.0000 2.9680
1.6268 1.6268 6.1931